Ni2AsW | the Alexandria database | SCAN | single point on PBEsol structure; energy relative to the elements = 3.58 kcal/mol of atoms; SG = R-3m (166)
1.0
2.744 0.000 0.000
1.372 2.376 0.000
1.372 0.792 8.022
As Ni W
1 2 1
direct
0.000 0.000 0.000
0.254 0.254 0.237
0.746 0.746 0.763
0.500 0.500 0.500